## i
Entry from the Alexandria database: a geometry-optimized ScBeAsN structure (GGA-PBE).

Cell: 3.2307 2.9690 6.2625 Å, 90.00 90.25 90.00°
With the nearest neighbours (Å) after each atom.
Fractional coordinates of all 4 atoms:
Sc (0.0271, 0.0000, 0.0124)  2 N 2.11
Be (0.5251, 0.5000, 0.6855)  2 N 1.64
As (0.5300, 0.5000, 0.3155)  1 Be 2.32
N (0.5251, 0.0000, 0.7964)  2 Be 1.64

Computed properties:
**Magnetization**: 0.067 μB/atom
**Space group**: No. 6
**DOS at the Fermi energy**: 0.228 states/eV/atom


## ii
Entry from the Alexandria database: a geometry-optimized ScBeAsN structure (GGA-PBE).

Cell: 3.1113 3.1113 5.8298 Å, 90.00 90.00 90.00°
With the nearest neighbours (Å) after each atom.
Fractional coordinates of all 4 atoms:
Be (0.0000, 0.0000, 0.0427)  1 N 1.62
Sc (0.5000, 0.5000, 0.7217)  4 N 2.21
N (0.0000, 0.0000, 0.7649)  1 Be 1.62
As (0.5000, 0.5000, 0.2329)  4 Be 2.46

Computed properties:
**Magnetization**: 0.000 μB/atom
**Space group**: No. 99
**DOS at the Fermi energy**: 0.206 states/eV/atom


## iii
Entry from the Alexandria database: a geometry-optimized ScBeAsN structure (GGA-PBE).

Cell: 3.2751 2.8094 11.7116 Å, 90.00 90.00 90.00°
With the nearest neighbours (Å) after each atom.
Fractional coordinates of all 8 atoms:
N (0.5000, 0.0000, 0.2147)  2 Be 1.76
As (0.0000, 0.5000, 0.4415)  2 Be 2.28
Sc (0.0000, 0.0000, 0.6450)  4 N 2.31, 2 Be 2.50
As (0.0000, 0.0000, 0.9415)  2 Be 2.28
Sc (0.0000, 0.5000, 0.1450)  4 N 2.31, 2 Be 2.50
N (0.5000, 0.5000, 0.7147)  2 Be 1.76
Be (0.5000, 0.0000, 0.8059)  2 N 1.76
Be (0.5000, 0.5000, 0.3059)  2 N 1.76

Computed properties:
**Magnetization**: 0.000 μB/atom
**Space group**: No. 38
**DOS at the Fermi energy**: 0.223 states/eV/atom


## iv
Entry from the Alexandria database: a geometry-optimized ScBeAsN structure (GGA-PBE).

Cell: 3.3809 3.3802 6.1631 Å, 74.62 74.62 61.66°
With the nearest neighbours (Å) after each atom.
Fractional coordinates of all 4 atoms:
As (0.5904, 0.1878, 0.7283)  3 Be 2.35-2.37
N (0.0876, 0.6850, 0.2195)  1 Be 1.58
Sc (0.3856, 0.9828, 0.3399)  3 N 2.08-2.10
Be (0.1751, 0.7732, 0.9501)  1 N 1.58

Computed properties:
**Magnetization**: 0.000 μB/atom
**Space group**: No. 8
**DOS at the Fermi energy**: 0.067 states/eV/atom


Compare the structures above. Which one is the most stable? iv is.